No. 1
# ScMn2Fe PBE relaxed
# DOS(E_F) = 5.43 states/eV/f.u.
data_ScMn2Fe
_chemical_formula_sum 'Sc4 Mn8 Fe4'
_symmetry_space_group_name_H-M 'I -4 2 d'
_symmetry_Int_Tables_number 122
_symmetry_space_group_name_Hall 'I -4 2bw'
_cell_length_a 6.8202
_cell_length_b 6.8202
_cell_length_c 5.1855
_cell_angle_alpha 90.00
_cell_angle_beta 90.00
_cell_angle_gamma 90.00
loop_
_atom_site_label
_atom_site_fract_x
_atom_site_fract_y
_atom_site_fract_z
Sc1 0.0000 0.0000 0.0000
Mn1 0.1912 0.2500 0.6250
Fe1 0.0000 0.0000 0.5000

***

No. 2
# Sc2In2Ge PBE relaxed
# DOS(E_F) = 4.17 states/eV/f.u.
data_Sc2In2Ge
_chemical_formula_sum 'Sc4 In4 Ge2'
_symmetry_space_group_name_H-M 'P 4/m b m'
_symmetry_Int_Tables_number 127
_symmetry_space_group_name_Hall '-P 4 2ab'
_cell_length_a 7.1209
_cell_length_b 7.1209
_cell_length_c 4.6618
_cell_angle_alpha 90.00
_cell_angle_beta 90.00
_cell_angle_gamma 90.00
loop_
_atom_site_label
_atom_site_fract_x
_atom_site_fract_y
_atom_site_fract_z
Sc1 0.1600 0.3400 0.0000
In1 0.1500 0.6500 0.5000
Ge1 0.0000 0.0000 0.0000

***

No. 3
# Ac12PmY5 PBE relaxed
# DOS(E_F) = 27.43 states/eV/f.u.
data_Ac12PmY5
_chemical_formula_sum 'Ac24 Pm2 Y10'
_symmetry_space_group_name_H-M 'C 1 2/m 1'
_symmetry_Int_Tables_number 12
_symmetry_space_group_name_Hall '-C 2y'
_cell_length_a 20.0944
_cell_length_b 11.5273
_cell_length_c 6.6910
_cell_angle_alpha 90.00
_cell_angle_beta 109.03
_cell_angle_gamma 90.00
loop_
_atom_site_label
_atom_site_fract_x
_atom_site_fract_y
_atom_site_fract_z
Ac1 0.0000 0.1654 0.0000
Ac2 0.0000 0.3351 0.5000
Ac3 0.1666 0.1652 0.4993
Ac4 0.1668 0.3348 0.9998
Pm1 0.0000 0.0000 0.5000
Y1 0.0000 0.5000 0.0000
Y2 0.1669 0.0000 0.0009
Y3 0.1667 0.5000 0.4995

***

| no. | energy of formation from the pure elements (eV/atom) |
| --- | --- |
| 1 | 0.41 |
| 2 | -0.34 |
| 3 | 0.05 |